VASP calculation (GGA-PBE) on crystalline Pa2Al4Cu3Au at its relaxed geometry.

Unit cell a=4.1933 b=4.1933 c=10.1143 alpha=90.00 beta=90.00 gamma=90.00
Space group P-4m2 (No. 115)
Symmetry-distinct sites (fractional):
Pa 0.0000 0.5000 0.2465 [2 per cell]
Al 0.0000 0.0000 0.0000 [1 per cell]
Al 0.0000 0.5000 0.6389 [2 per cell]
Al 0.5000 0.5000 0.0000 [1 per cell]
Cu 0.0000 0.5000 0.8713 [2 per cell]
Cu 0.5000 0.5000 0.5000 [1 per cell]
Au 0.0000 0.0000 0.5000 [1 per cell]

Computed properties:
The value obtained for the electronic total energy is -52.576 eV for the cell shown. The density of states at the Fermi level is 0.627 states/eV/atom. The value obtained for the formation energy is -0.305 eV/atom. The volume comes out at 17.8 Å³/atom. As for the crystal system: tetragonal.